Record 1
The following is a PBE calculation of an optimized crystal structure of CeS2Cl4, from Alexandria.

Volume, Å³/cell: 240.5

Cell lengths 3.9744, 7.0322, 9.0478 Å; angles 95.28, 93.82, 106.33 degrees
Space group P-1 (No. 2)
Unique sites:
Ce1 0.0000 0.0000 0.0000 (multiplicity 1)
S1 0.3433 0.5805 0.4898 (multiplicity 2)
Cl1 0.0071 0.9311 0.2716 (multiplicity 2)
Cl2 0.3543 0.7265 0.9368 (multiplicity 2)

=====

Record 2
The following is a PBE calculation of an optimized crystal structure of Ce2SCl3, from Alexandria.

Volume, Å³/cell: 747.2

Cell lengths 17.5147, 4.0793, 13.2473 Å; angles 90.00, 127.87, 90.00 degrees
Space group C2/m (No. 12)
Unique sites:
Ce1 0.1240 0.0000 0.3865 (multiplicity 4)
Ce2 0.2466 0.0000 0.7538 (multiplicity 4)
S1 0.1950 0.5000 0.5721 (multiplicity 4)
Cl1 0.0629 0.0000 0.6868 (multiplicity 4)
Cl2 0.0694 0.5000 0.1997 (multiplicity 4)
Cl3 0.1839 0.0000 0.0679 (multiplicity 4)

=====

Record 3
The following is a PBE calculation of an optimized crystal structure of CeSCl3, from Alexandria.

Volume, Å³/cell: 560.8

Cell lengths 11.0299, 8.5318, 7.3133 Å; angles 90.00, 125.43, 90.00 degrees
Space group C2/m (No. 12)
Unique sites:
Ce1 0.2269 0.0000 0.0826 (multiplicity 4)
S1 0.0498 0.5000 0.4215 (multiplicity 4)
Cl1 0.0582 0.0000 0.2696 (multiplicity 4)
Cl2 0.2155 0.3104 0.1742 (multiplicity 8)

=====

| no. | formation energy (no corrections) (eV per atom) | DOS(E_F) (states/eV per cell) |
| --- | --- | --- |
| 1 | -1.245 | 3.96 |
| 2 | -2.071 | 47.71 |
| 3 | -1.711 | 19.08 |